First-principles (PBE) data for an optimized crystal structure of Mg2SnPtW, as listed in the Alexandria database.

Output
- space-group type = No. 123
- DFT formation energy (meV/atom) = 1306
- total magnetic moment (μB/atom) = 0.3270
- electronic total energy (eV/atom) = -3.9310

Structure (POSCAR):
```
Mg2SnPtW
1.0
5.0893 0.0000 0.0000
0.0000 5.0893 0.0000
0.0000 0.0000 5.1360
Mg Sn Pt W
2 1 1 1
direct
0.0000 0.5000 0.0000 Mg
0.5000 0.0000 0.0000 Mg
0.0000 0.0000 0.5000 Sn
0.5000 0.5000 0.5000 Pt
0.0000 0.0000 0.0000 W
```

First-principles (PBE) data for an optimized crystal structure of MgZrSnPt2, as listed in the Alexandria database.

Output
- space-group type = No. 123
- DFT formation energy (meV/atom) = 621
- total magnetic moment (μB/atom) = 0.0978
- electronic total energy (eV/atom) = -4.6242

Structure (POSCAR):
```
MgZrSnPt2
1.0
5.0235 0.0000 0.0000
0.0000 5.0235 0.0000
0.0000 0.0000 5.2857
Mg Zr Sn Pt
1 1 1 2
direct
0.0000 0.0000 0.0000 Mg
0.5000 0.5000 0.0000 Zr
0.5000 0.5000 0.5000 Sn
0.0000 0.5000 0.5000 Pt
0.5000 0.0000 0.5000 Pt
```

- What is the formula in the first record?
  Mg2SnPtW

- Number 2 is which compound?
  MgZrSnPt2

- Which of these has the highest total magnetic moment?
  Mg2SnPtW